Here is a relaxed structure of MnSe2O6 from the Alexandria database. Energies are from GGA+U.

Output
**Density of states at the Fermi level**: 0.29 states/eV/atom
**Magnetic moment**: 6.2 Bohr magnetons per cell
**Theoretical density**: 3985 kg/m³
**Uncorrected energy**: -101.93 eV for the cell shown

Structure (POSCAR):
```
MnSe2O6
1.0
-4.759 1.022 3.651
0.840 -4.194 5.288
1.535 5.666 3.435
O Se Mn
12 4 2
Direct
0.895 0.191 0.023
0.971 0.261 0.441
0.471 0.441 0.261
0.253 0.010 0.618
0.529 0.559 0.739
0.753 0.618 0.010
0.605 0.977 0.809
0.247 0.382 0.990
0.747 0.990 0.382
0.029 0.739 0.559
0.105 0.809 0.977
0.395 0.023 0.191
0.752 0.446 0.184
0.252 0.184 0.446
0.248 0.554 0.816
0.748 0.816 0.554
0.750 0.924 0.076
0.250 0.076 0.924
```



Here is a relaxed structure of MnSeO5 from the Alexandria database. Energies are from GGA+U.

Output
**Density of states at the Fermi level**: 0.04 states/eV/atom
**Magnetic moment**: 12.1 Bohr magnetons per cell
**Theoretical density**: 3594 kg/m³
**Uncorrected energy**: -155.68 eV for the cell shown

Structure (POSCAR):
```
MnSeO5
1.0
7.211 0.000 0.000
0.000 6.000 0.167
0.000 2.425 9.205
O Mn Se
20 4 4
Direct
0.784 0.750 0.604
0.644 0.779 0.816
0.216 0.250 0.396
0.779 0.194 0.779
0.499 0.516 0.339
0.558 0.133 0.565
0.284 0.250 0.896
0.356 0.221 0.184
0.058 0.867 0.935
0.279 0.806 0.721
0.144 0.221 0.684
0.716 0.750 0.104
0.721 0.194 0.279
0.856 0.779 0.316
0.221 0.806 0.221
0.999 0.484 0.161
0.001 0.516 0.839
0.942 0.133 0.065
0.501 0.484 0.661
0.442 0.867 0.435
0.954 0.800 0.150
0.454 0.200 0.350
0.546 0.800 0.650
0.046 0.200 0.850
0.701 0.354 0.612
0.299 0.646 0.388
0.201 0.646 0.888
0.799 0.354 0.112
```



Here is a relaxed structure of MnSe2O5 from the Alexandria database. Energies are from GGA+U.

Output
**Density of states at the Fermi level**: 0.00 states/eV/atom
**Magnetic moment**: 10.0 Bohr magnetons per cell
**Theoretical density**: 3998 kg/m³
**Uncorrected energy**: -95.33 eV for the cell shown

Structure (POSCAR):
```
MnSe2O5
1.0
-0.402 -4.504 3.945
6.338 2.549 0.801
-4.403 4.779 2.254
Mn O Se
2 10 4
Direct
0.250 0.083 0.917
0.750 0.917 0.083
0.160 0.085 0.216
0.772 0.595 0.027
0.750 0.575 0.425
0.340 0.784 0.915
0.228 0.405 0.973
0.250 0.425 0.575
0.660 0.216 0.085
0.272 0.027 0.595
0.728 0.973 0.405
0.840 0.915 0.784
0.368 0.203 0.482
0.868 0.482 0.203
0.632 0.797 0.518
0.132 0.518 0.797
```



Here is a relaxed structure of SmMnSeO2 from the Alexandria database. Energies are from GGA+U.

Output
**Magnetic moment**: 8.0 Bohr magnetons per cell
**Theoretical density**: 6017 kg/m³
**Uncorrected energy**: -71.42 eV for the cell shown

Structure (POSCAR):
```
SmMnSeO2
1.0
5.447 0.000 0.000
0.000 5.490 0.000
0.000 -2.745 5.837
Mn Sm O Se
2 2 4 2
Direct
0.250 0.985 0.970
0.750 0.015 0.030
0.750 0.373 0.745
0.250 0.627 0.255
0.000 0.245 0.000
0.000 0.755 0.000
0.500 0.755 0.000
0.500 0.245 0.000
0.750 0.758 0.516
0.250 0.242 0.484
```



- Among the records above, which one has the lowest magnetic moment?
  MnSe2O6



- Among the records above, which one has the lowest theoretical density?
  MnSeO5



What did the third record say?
Here is a relaxed structure of MnSe2O5 from the Alexandria database. Energies are from GGA+U.

Output
**Density of states at the Fermi level**: 0.00 states/eV/atom
**Magnetic moment**: 10.0 Bohr magnetons per cell
**Theoretical density**: 3998 kg/m³
**Uncorrected energy**: -95.33 eV for the cell shown

Structure (POSCAR):
```
MnSe2O5
1.0
-0.402 -4.504 3.945
6.338 2.549 0.801
-4.403 4.779 2.254
Mn O Se
2 10 4
Direct
0.250 0.083 0.917
0.750 0.917 0.083
0.160 0.085 0.216
0.772 0.595 0.027
0.750 0.575 0.425
0.340 0.784 0.915
0.228 0.405 0.973
0.250 0.425 0.575
0.660 0.216 0.085
0.272 0.027 0.595
0.728 0.973 0.405
0.840 0.915 0.784
0.368 0.203 0.482
0.868 0.482 0.203
0.632 0.797 0.518
0.132 0.518 0.797
```